[1]
VASP calculation (PBE) on La2Al9Ni3 after structural relaxation.

The value obtained for the energy relative to the elements is -0.521 eV/atom. Its total energy is -272.70 eV/cell. For the total magnetic moment, the calculation gives 0.00 μB/cell.

It has space group C2/c (No. 15), with a = 13.188 Å, b = 7.564 Å, c = 10.539 Å, α = 90.00°, β = 114.64° and γ = 90.00°. The inequivalent atoms are La at (0.169, 0.084, 0.250), Al at (0.000, 0.373, 0.250), Al at (0.061, 0.086, 0.932), Al at (0.098, 0.416, 0.044), Al at (0.103, 0.316, 0.747), Al at (0.225, 0.419, 0.433), Ni at (0.084, 0.246, 0.501) and Ni at (0.250, 0.250, 0.000).

***

[2]
VASP calculation (PBE) on La3AlNi after structural relaxation.

The value obtained for the energy relative to the elements is -0.255 eV/atom. The energy relative to the lowest polymorph listed for this composition is 0 meV/atom. Its total energy is -102.33 eV/cell. For the total magnetic moment, the calculation gives 0.00 μB/cell.

It has space group P4_2/mnm (No. 136), with a = 10.750 Å, b = 10.750 Å, c = 4.618 Å, α = 90.00°, β = 90.00° and γ = 90.00°. The inequivalent atoms are La at (0.021, 0.324, 0.000), La at (0.114, 0.886, 0.500), Al at (0.190, 0.190, 0.500) and Ni at (0.083, 0.083, 0.000).

***

[3]
VASP calculation (PBE) on La2AlNi9 after structural relaxation.

The value obtained for the energy relative to the elements is -0.377 eV/atom. The energy relative to the lowest polymorph listed for this composition is 0 meV/atom. Its total energy is -140.30 eV/cell. For the total magnetic moment, the calculation gives 0.01 μB/cell.

It has space group Cmmm (No. 65), with a = 5.057 Å, b = 8.624 Å, c = 8.052 Å, α = 90.00°, β = 90.00° and γ = 90.00°. The inequivalent atoms are La at (0.000, 0.000, 0.234), Al at (0.000, 0.500, 0.500), Ni at (0.000, 0.331, 0.251), Ni at (0.000, 0.500, 0.000), Ni at (0.250, 0.250, 0.000) and Ni at (0.250, 0.250, 0.500).

***

[4]
VASP calculation (PBE) on LaAlNi3 after structural relaxation.

The value obtained for the energy relative to the elements is 1.150 eV/atom. The energy relative to the lowest polymorph listed for this composition is 1237 meV/atom. Its total energy is -20.26 eV/cell. For the total magnetic moment, the calculation gives 0.00 μB/cell.

It has space group Pm-3m (No. 221), with a = 4.717 Å, b = 4.717 Å, c = 4.717 Å, α = 90.00°, β = 90.00° and γ = 90.00°. The inequivalent atoms are La at (0.000, 0.000, 0.000), Al at (0.500, 0.500, 0.500) and Ni at (0.000, 0.000, 0.500).

***

[5]
VASP calculation (PBE) on LaAl2Ni3 after structural relaxation.

The value obtained for the energy relative to the elements is -0.528 eV/atom. Its total energy is -131.70 eV/cell. For the total magnetic moment, the calculation gives 0.00 μB/cell.

It has space group Cmcm (No. 63), with a = 9.729 Å, b = 7.749 Å, c = 5.236 Å, α = 90.00°, β = 90.00° and γ = 90.00°. The inequivalent atoms are La at (0.000, 0.188, 0.250), Al at (0.212, 0.500, 0.000), Ni at (0.000, 0.443, 0.750) and Ni at (0.176, 0.223, 0.750).

***

[6]
VASP calculation (PBE) on La2Al12Ni7 after structural relaxation.

The value obtained for the energy relative to the elements is -0.574 eV/atom. Its total energy is -107.29 eV/cell. For the total magnetic moment, the calculation gives 0.00 μB/cell.

It has space group P-6 (No. 174), with a = 9.6284 Å, b = 9.6284 Å, c = 4.0951 Å, α = 90.00°, β = 90.00° and γ = 120.00°. The inequivalent atoms are La at (0.0000, 0.0000, 0.0000), La at (0.3333, 0.6667, 0.5000), Al at (0.0187, 0.2794, 0.5000), Al at (0.1442, 0.7573, 0.0000), Al at (0.3814, 0.2078, 0.0000), Al at (0.5462, 0.4186, 0.5000), Ni at (0.0161, 0.4512, 0.0000), Ni at (0.2521, 0.2431, 0.5000) and Ni at (0.6667, 0.3333, 0.0000).

***

[7]
VASP calculation (PBE) on La5AlNi2 after structural relaxation.

The value obtained for the energy relative to the elements is -0.257 eV/atom. Its total energy is -167.99 eV/cell. For the total magnetic moment, the calculation gives 0.00 μB/cell.

It has space group I4/mcm (No. 140), with a = 8.036 Å, b = 8.036 Å, c = 13.577 Å, α = 90.00°, β = 90.00° and γ = 90.00°. The inequivalent atoms are La at (0.000, 0.000, 0.000), La at (0.161, 0.339, 0.140), Al at (0.000, 0.000, 0.250) and Ni at (0.121, 0.379, 0.500).

***

| no. | density of states at the Fermi level (states/eV/f.u.) |
| --- | --- |
| 1 | 5.187 |
| 2 | 6.029 |
| 3 | 13.691 |
| 4 | 3.680 |
| 5 | 3.737 |
| 6 | 9.342 |
| 7 | 7.778 |